Here is a relaxed Nd4Er3Tm3 crystal from the Alexandria database. Energies are from PBE.

The value obtained for the total energy is -4.51 eV per atom.

a = 3.798 Å, b = 9.245 Å, c = 9.245 Å
α = 89.97°, β = 90.00°, γ = 90.00°
Fractional positions:
Er 0.500 0.168 0.832
Er 0.000 0.500 0.000
Er 0.000 0.000 0.500
Tm 0.500 0.668 0.668
Tm 0.500 0.832 0.168
Tm 0.500 0.332 0.332
Nd 0.000 0.132 0.132
Nd 0.000 0.632 0.368
Nd 0.000 0.868 0.868
Nd 0.000 0.368 0.632